VASP calculation (GGA-PBE) on a relaxed structure of Tb5Te5C.

Results
Raw total energy = -0.4062 Ry per atom
Symmetry = C2/m, No. 12
ΔE_f (raw) = -1156 meV/atom

abc: 6.0450 7.3706 8.4493
angles: 107.58 90.00 114.21
Element x y z (fractional)
Te 0.0000 0.0000 0.5000
Tb 0.1437 0.2873 0.8606
Te 0.3408 0.6816 0.1862
Te 0.6798 0.3596 0.3344
Te 0.6592 0.3184 0.8138
Tb 0.1406 0.2812 0.2858
Te 0.3202 0.6404 0.6656
Tb 0.5000 0.0000 0.0000
C 0.0000 0.0000 0.0000
Tb 0.8594 0.7188 0.7142
Tb 0.8563 0.7127 0.1394

=====

VASP calculation (GGA-PBE) on a relaxed structure of ScNiHIr2.

Results
Raw total energy = -0.5167 Ry per atom
Symmetry = P4/mmm, No. 123
Relative energy among the computed polymorphs = 0.046 eV per atom

abc: 3.9071 3.9071 4.0035
angles: 90.00 90.00 90.00
Element x y z (fractional)
Ir 0.0000 0.5000 0.0000
Sc 0.0000 0.0000 0.5000
Ni 0.5000 0.5000 0.5000
Ir 0.5000 0.0000 0.0000
H 0.0000 0.0000 0.0000

=====

VASP calculation (GGA-PBE) on a relaxed structure of Tb15HoSc4.

Results
Raw total energy = -0.3627 Ry per atom
Symmetry = P4/mmm, No. 123
Formation enthalpy at 0 K = 0.033 eV per atom

abc: 4.9531 4.9531 24.6724
angles: 90.00 90.00 90.00
Element x y z (fractional)
Tb 0.5000 0.0000 0.5000
Tb 0.5000 0.0000 0.1030
Tb 0.5000 0.0000 0.6985
Tb 0.0000 0.5000 0.8970
Tb 0.5000 0.5000 0.4008
Sc 0.0000 0.0000 0.4007
Ho 0.0000 0.0000 0.0000
Tb 0.0000 0.5000 0.5000
Tb 0.5000 0.5000 0.0000
Tb 0.5000 0.0000 0.8970
Sc 0.0000 0.0000 0.2021
Tb 0.0000 0.5000 0.6985
Sc 0.0000 0.0000 0.5993
Tb 0.5000 0.5000 0.5992
Tb 0.0000 0.5000 0.3015
Tb 0.5000 0.5000 0.2025
Sc 0.0000 0.0000 0.7979
Tb 0.0000 0.5000 0.1030
Tb 0.5000 0.0000 0.3015
Tb 0.5000 0.5000 0.7975

=====

VASP calculation (GGA-PBE) on a relaxed structure of MnTcCl2.

Results
Raw total energy = -0.4282 Ry per atom
Symmetry = Immm, No. 71
Relative energy among the computed polymorphs = 0.178 eV per atom
ΔE_f (raw) = -19 meV/atom

abc: 7.4406 7.4406 7.4406
angles: 156.24 146.04 41.87
Element x y z (fractional)
Cl 0.1132 0.1132 0.0000
Tc 0.2500 0.7500 0.5000
Mn 0.7500 0.2500 0.5000
Cl 0.3868 0.3868 0.0000

=====

VASP calculation (GGA-PBE) on a relaxed structure of HoIn2Cu.

Results
Raw total energy = -0.2774 Ry per atom
Symmetry = P4/mmm, No. 123
Formation enthalpy at 0 K = -0.237 eV per atom

abc: 4.4665 4.4347 4.4347
angles: 90.00 90.00 90.00
Element x y z (fractional)
In 0.0000 0.5000 0.0000
In 0.0000 0.0000 0.5000
Cu 0.5000 0.0000 0.0000
Ho 0.5000 0.5000 0.5000

=====

VASP calculation (GGA-PBE) on a relaxed structure of MgCd2.

Results
Raw total energy = -0.0663 Ry per atom
Symmetry = Pa-3, No. 205
Formation enthalpy at 0 K = 0.240 eV per atom

abc: 6.9593 6.9593 6.9593
angles: 90.00 90.00 90.00
Element x y z (fractional)
Cd 0.6270 0.8730 0.1270
Cd 0.1270 0.8730 0.3730
Mg 0.0000 0.5000 0.5000
Cd 0.3730 0.3730 0.3730
Mg 0.0000 0.0000 0.0000
Cd 0.1270 0.6270 0.8730
Mg 0.5000 0.0000 0.5000
Cd 0.6270 0.6270 0.6270
Cd 0.3730 0.1270 0.8730
Cd 0.8730 0.3730 0.1270
Cd 0.8730 0.1270 0.6270
Mg 0.5000 0.5000 0.0000

=====

VASP calculation (GGA-PBE) on a relaxed structure of Ho8SnBi5.

Results
Raw total energy = -0.3670 Ry per atom
Symmetry = I-4, No. 82
Formation enthalpy at 0 K = -0.706 eV per atom

abc: 8.0882 8.0882 8.0882
angles: 109.58 109.26 109.58
Element x y z (fractional)
Ho 0.7802 0.2542 0.3826
Ho 0.2711 0.2562 0.3804
Sn 0.2500 0.5000 0.7500
Ho 0.6174 0.3976 0.8716
Ho 0.1242 0.7438 0.0149
Bi 0.7492 0.6285 0.6222
Ho 0.1284 0.7458 0.5260
Bi 0.5000 0.0000 0.5000
Ho 0.9851 0.1093 0.7289
Ho 0.4740 0.6024 0.2198
Ho 0.6196 0.8907 0.8758
Bi 0.3778 0.1270 0.0062
Bi 0.8793 0.8730 0.2508
Bi 0.9938 0.3715 0.1207

=====

VASP calculation (GGA-PBE) on a relaxed structure of TbCe3Pm2Te6.

Results
Raw total energy = -0.4125 Ry per atom
Symmetry = C2/m, No. 12
ΔE_f (raw) = -1381 meV/atom

abc: 7.7020 7.7020 7.7813
angles: 99.49 99.49 120.07
Element x y z (fractional)
Pm 0.6660 0.3340 0.0000
Te 0.9189 0.5904 0.7558
Tb 0.0000 0.0000 0.0000
Ce 0.1698 0.8302 0.5000
Ce 0.8302 0.1698 0.5000
Te 0.7546 0.7546 0.2477
Te 0.4096 0.0811 0.2442
Te 0.2454 0.2454 0.7523
Ce 0.5000 0.5000 0.5000
Pm 0.3340 0.6660 0.0000
Te 0.5904 0.9189 0.7558
Te 0.0811 0.4096 0.2442